[1]
Compound: InAsPt2
Source: Alexandria via LeMat-Bulk
Functional: PBE
Structure: relaxed

Lattice parameters (Å, degrees): 3.7576 3.7576 20.3759 90.00 90.00 120.00
Space group R3m (No. 160, hexagonal axes)
One atom of each set of equivalent atoms:
In 0.0000 0.0000 0.0000 (multiplicity 3)
As 0.0000 0.0000 0.2177 (multiplicity 3)
Pt 0.0000 0.0000 0.4933 (multiplicity 3)
Pt 0.0000 0.0000 0.7472 (multiplicity 3)

Properties
- size of the total moment (μB/f.u.) = 0.0
- ΔH_f (0 K) (eV per atom) = -0.1482

[2]
Compound: BaGe3Ir3
Source: Alexandria via LeMat-Bulk
Functional: PBE
Structure: relaxed

Lattice parameters (Å, degrees): 6.862 6.862 6.862 90.00 90.00 90.00
Space group Pm-3n (No. 223)
One atom of each set of equivalent atoms:
Ba 0.000 0.000 0.000 (multiplicity 2)
Ge 0.000 0.250 0.500 (multiplicity 6)
Ir 0.000 0.500 0.250 (multiplicity 6)

Properties
- distance to the lowest polymorph of the same formula (eV per atom) = 0.0000
- size of the total moment (μB/f.u.) = 0.0
- ΔH_f (0 K) (eV per atom) = -0.2848

[3]
Compound: Nb4OsW3
Source: Alexandria via LeMat-Bulk
Functional: PBE
Structure: relaxed

Lattice parameters (Å, degrees): 3.219 4.578 9.152 90.00 90.00 90.00
Space group Pmmm (No. 47)
One atom of each set of equivalent atoms:
Nb 0.000 0.000 0.000 (multiplicity 1)
Nb 0.000 0.000 0.500 (multiplicity 1)
Nb 0.000 0.500 0.248 (multiplicity 2)
Os 0.500 0.500 0.000 (multiplicity 1)
W 0.500 0.000 0.248 (multiplicity 2)
W 0.500 0.500 0.500 (multiplicity 1)

Properties
- size of the total moment (μB/f.u.) = 0.0
- ΔH_f (0 K) (eV per atom) = -0.1298